DFT (SCAN) results for BaMgZr2 at its PBEsol-relaxed geometry.

The structure in extended XYZ format:
```
4
Lattice="-2.4774 1.8467 -0.7021 -2.2079 -4.0842 -2.9513 -2.1538 -2.6438 5.2698" Properties=species:S:1:pos:R:3 pbc="T T T"
Ba -2.3427 -1.1188 -1.8267
Mg -2.1808 -3.3640 1.1592
Zr -3.5143 -0.3746 3.1475
Zr -1.1170 -0.4225 1.4202
```

Values from the calculation:
Calculated volume (Å³/atom): 26.99
Space-group type: No. 10
Formation energy from the elements (kJ/mol of formula units): 184

DFT (SCAN) results for BaMgZr3 at its PBEsol-relaxed geometry.

The structure in extended XYZ format:
```
5
Lattice="5.2675 0.0000 0.0000 0.0000 5.2675 0.0000 0.0000 0.0000 5.2675" Properties=species:S:1:pos:R:3 pbc="T T T"
Mg 0.0000 0.0000 0.0000
Ba 2.6337 2.6337 2.6337
Zr 0.0000 2.6337 0.0000
Zr 0.0000 0.0000 2.6337
Zr 2.6337 0.0000 0.0000
```

Values from the calculation:
Calculated volume (Å³/atom): 29.23
Space-group type: No. 221
Formation energy from the elements (kJ/mol of formula units): 501

DFT (SCAN) results for Ba5Mn at its PBEsol-relaxed geometry.

The structure in extended XYZ format:
```
6
Lattice="-2.9189 -2.6503 2.3968 4.9161 -3.7776 1.8099 2.8314 6.8248 6.5536" Properties=species:S:1:pos:R:3 pbc="T T T"
Ba -0.1698 3.8446 8.4855
Ba 0.8455 3.3892 4.7773
Ba -1.0782 0.2030 3.3524
Ba 1.0020 -3.2003 2.1226
Ba 1.7568 -0.1745 6.3876
Mn 2.8386 -0.3633 3.0552
```

Values from the calculation:
Calculated volume (Å³/atom): 47.70
Space-group type: No. 38
Formation energy from the elements (kJ/mol of formula units): 108

DFT (SCAN) results for Ba2Mn at its PBEsol-relaxed geometry.

The structure in extended XYZ format:
```
6
Lattice="-0.4084 2.0477 3.4615 -5.5351 1.2909 -1.4167 -2.8504 -9.2051 2.7486" Properties=species:S:1:pos:R:3 pbc="T T T"
Ba -5.5893 -1.3126 2.4776
Ba -6.7620 -6.0242 2.7660
Ba -3.2045 -4.5538 2.3158
Ba -2.0318 0.1578 2.0275
Mn -4.5215 -0.0232 -0.5197
Mn -4.2724 -5.8432 5.3131
```

Values from the calculation:
Calculated volume (Å³/atom): 38.73
Space-group type: No. 63
Formation energy from the elements (kJ/mol of formula units): 80

DFT (SCAN) results for Ba3Mn at its PBEsol-relaxed geometry.

The structure in extended XYZ format:
```
4
Lattice="-3.2094 -2.8782 3.4642 4.4705 -2.5527 2.0208 0.5473 3.9730 3.8080" Properties=species:S:1:pos:R:3 pbc="T T T"
Ba 2.5089 0.7102 2.9144
Ba -1.3311 0.5474 3.6361
Ba 0.6305 -2.7154 2.7425
Mn 0.0000 0.0000 0.0000
```

Values from the calculation:
Calculated volume (Å³/atom): 42.29
Space-group type: No. 221
Formation energy from the elements (kJ/mol of formula units): 114

DFT (SCAN) results for Ba2Mn at its PBEsol-relaxed geometry.

The structure in extended XYZ format:
```
6
Lattice="-1.0584 -5.6510 -1.3720 4.2051 1.3498 3.9283 -5.0524 -0.4002 5.5459" Properties=species:S:1:pos:R:3 pbc="T T T"
Ba 0.0000 0.0000 0.0000
Ba -2.5262 -0.2001 2.7730
Ba -0.5670 -3.4174 1.7812
Ba -1.3387 -1.2839 6.3210
Mn -3.0932 -3.6175 4.5542
Mn 1.1875 -1.0838 3.5480
```

Values from the calculation:
Calculated volume (Å³/atom): 37.89
Space-group type: No. 194
Formation energy from the elements (kJ/mol of formula units): 84

DFT (SCAN) results for BaMnMo2 at its PBEsol-relaxed geometry.

The structure in extended XYZ format:
```
4
Lattice="3.0732 0.0000 0.0000 1.5366 2.6615 0.0000 1.5366 0.8872 9.2980" Properties=species:S:1:pos:R:3 pbc="T T T"
Ba 3.0732 1.7743 4.6490
Mn 0.0000 0.0000 0.0000
Mo 1.5366 0.8872 1.6419
Mo 4.6098 2.6615 7.6561
```

Values from the calculation:
Calculated volume (Å³/atom): 19.01
Energy above the lowest structure with this stoichiometry (eV/atom): 0.360
Space-group type: No. 166
Formation energy from the elements (kJ/mol of formula units): 451

DFT (SCAN) results for BaMnMo2 at its PBEsol-relaxed geometry.

The structure in extended XYZ format:
```
4
Lattice="-2.9694 -0.9391 -0.5166 -1.2653 -2.2825 1.7763 -4.5293 5.4172 6.5397" Properties=species:S:1:pos:R:3 pbc="T T T"
Ba -4.3839 1.1016 3.9033
Mn -2.0202 0.1932 1.6145
Mo -4.5082 5.3733 6.4983
Mo -6.7631 2.0425 6.2227
```

Values from the calculation:
Calculated volume (Å³/atom): 20.39
Energy above the lowest structure with this stoichiometry (eV/atom): 0.000
Space-group type: No. 160
Formation energy from the elements (kJ/mol of formula units): 312

DFT (SCAN) results for BaMn3Mo at its PBEsol-relaxed geometry.

The structure in extended XYZ format:
```
5
Lattice="4.7947 0.0000 0.0000 0.0000 4.7947 0.0000 0.0000 0.0000 4.7947" Properties=species:S:1:pos:R:3 pbc="T T T"
Mo 0.0000 0.0000 0.0000
Mn 0.0000 2.3973 0.0000
Mn 0.0000 0.0000 2.3973
Mn 2.3973 0.0000 0.0000
Ba 2.3973 2.3973 2.3973
```

Values from the calculation:
Calculated volume (Å³/atom): 22.04
Space-group type: No. 221
Formation energy from the elements (kJ/mol of formula units): 289

DFT (SCAN) results for Ba2MnMoO6 at its PBEsol-relaxed geometry.

The structure in extended XYZ format:
```
10
Lattice="5.6763 0.0000 0.0000 2.8381 4.9158 0.0000 2.8381 1.6386 4.6347" Properties=species:S:1:pos:R:3 pbc="T T T"
Mo 0.0000 0.0000 0.0000
Mn 5.6763 3.2772 2.3173
Ba 8.5144 4.9158 3.4760
Ba 2.8381 1.6386 1.1587
O 4.2181 4.1191 1.1267
O 4.2181 2.4353 3.5079
O 7.1344 4.1191 1.1267
O 5.6763 4.9610 3.5079
O 7.1344 2.4353 3.5079
O 5.6763 1.5934 1.1267
```

Values from the calculation:
Formation energy (no corrections) (meV/atom): -2649
Calculated volume (Å³/atom): 12.93
Space-group type: No. 225

DFT (SCAN) results for BaSrMn2Mo at its PBEsol-relaxed geometry.

The structure in extended XYZ format:
```
5
Lattice="-4.2695 -0.8928 2.2316 2.3840 -2.1513 3.7005 0.3455 4.8747 2.6114" Properties=species:S:1:pos:R:3 pbc="T T T"
Sr -0.7699 0.9153 4.2717
Mo 0.0000 0.0000 0.0000
Mn 1.1920 -1.0757 1.8502
Mn -2.1347 -0.4464 1.1158
Ba 0.1728 2.4373 1.3057
```

Values from the calculation:
Calculated volume (Å³/atom): 26.60
Space-group type: No. 123
Formation energy from the elements (kJ/mol of formula units): 348

DFT (SCAN) results for BaMnN2O at its PBEsol-relaxed geometry.

The structure in extended XYZ format:
```
5
Lattice="-1.6772 -0.0297 -3.3022 0.6744 -3.6287 -0.3099 -3.7706 -0.8650 1.9229" Properties=species:S:1:pos:R:3 pbc="T T T"
Mn 0.0000 0.0000 0.0000
Ba -2.3867 -2.2617 -0.8446
O -1.8853 -0.4325 0.9614
N 0.3372 -1.8144 -0.1549
N -0.8386 -0.0149 -1.6511
```

Values from the calculation:
Formation energy (no corrections) (meV/atom): -676
Calculated volume (Å³/atom): 11.85
Space-group type: No. 123

Respective DOS(E_F) values: 4.46; 6.87; 6.50; 6.97; 6.26; 7.24; 4.13; 3.32; 3.36; 3.23; 2.89; 3.15 states/eV per cell.
Respective electronic total energy values: -104.01; -131.43; -214.89; -193.05; -135.72; -192.98; -122.90; -124.34; -126.21; -196.12; -129.62; -86.00 eV for the cell shown.